A plane-wave DFT calculation with PBE was carried out for crystalline Si2AgHg at its relaxed geometry.

a = 3.724 Å, b = 3.724 Å, c = 5.522 Å
α = 90.00°, β = 90.00°, γ = 90.00°
Positions (direct):
Ag (0.500, 0.500, 0.250)
Hg (0.500, 0.500, 0.750)
Si (0.000, 0.000, 0.024)
Si (0.000, 0.000, 0.476)

DFT total energy (eV for the cell shown): -11.9
Space group: No. 123
Theoretical density (g cm⁻³): 7.9
Raw formation energy (eV/atom): 0.5362